Y2HoAl3Si2Pd | GGA-PBE | optimized geometry

Cell: 4.2447 11.9286 6.8880 Å, 90.00 90.00 90.00°
With the nearest neighbours (Å) after each atom.
Space group Amm2 (No. 38)
Asymmetric unit:
Y 0.0000 0.2092 0.0000 x4  1 Pd 2.89, 4 Si 2.96-2.97, 2 Al 3.18
Ho 0.0000 0.0000 0.3732 x2  1 Pd 2.86, 4 Si 2.96, 2 Al 3.18
Al 0.5000 0.0000 0.0297 x2  2 Si 2.68, 2 Pd 2.69, 2 Al 2.85
Al 0.5000 0.1192 0.6711 x4  2 Si 2.68-2.69, 2 Pd 2.68, 2 Al 2.84-2.85
Si 0.5000 0.1660 0.2909 x4  3 Al 2.68-2.69, 2 Ho 2.96, 4 Y 2.96-2.97
Pd 0.0000 0.0000 0.7889 x2  6 Al 2.68-2.69, 1 Ho 2.86, 2 Y 2.89



MgTc | GGA-PBE | optimized geometry

- relative energy among the computed polymorphs (eV/atom) = 0.254

Cell: 5.3952 4.6480 7.7646 Å, 90.00 99.86 90.00°
With the nearest neighbours (Å) after each atom.
Space group P2_1/m (No. 11)
Asymmetric unit:
Mg 0.0252 0.2500 0.1033 x2  8 Tc 2.70-2.81, 4 Mg 2.81-2.88
Mg 0.1427 0.7500 0.5682 x2  7 Mg 2.67-2.89, 5 Tc 2.84-2.98
Mg 0.3630 0.2500 0.4328 x2  7 Mg 2.67-2.89, 3 Tc 2.83-2.95
Tc 0.1871 0.2500 0.7809 x2  3 Tc 2.55-2.85, 5 Mg 2.79-2.84
Tc 0.2857 0.7500 0.2214 x2  3 Tc 2.55-2.85, 5 Mg 2.78-2.83
Tc 0.4788 0.7500 0.9128 x2  8 Tc 2.68-2.93, 4 Mg 2.70-2.96



Te2WS2Br | GGA-PBE | optimized geometry

- relative energy among the computed polymorphs (eV/atom) = 0.071

Cell: 6.5451 8.2883 8.3175 Å, 112.29 113.06 97.56°
With the nearest neighbours (Å) after each atom.
Space group P-1 (No. 2)
Asymmetric unit:
Te 0.0408 0.2600 0.4948 x2  1 Te 2.76, 2 W 2.85-2.86, 1 Br 2.99
Te 0.1915 0.1974 0.8184 x2  1 Te 2.76, 2 W 2.89
W 0.2857 0.9996 0.4999 x2  4 S 2.43-2.44
S 0.3956 0.7264 0.3802 x2  1 S 2.15
S 0.4184 0.0963 0.3049 x2  1 S 2.15
Br 0.1711 0.7789 0.9133 x2  1 S 2.90, 1 Te 2.99



FeHgGeS3 | GGA-PBE | optimized geometry

- relative energy among the computed polymorphs (eV/atom) = 0.206

Cell: 3.4534 13.9106 11.0741 Å, 90.00 90.00 90.00°
With the nearest neighbours (Å) after each atom.
Space group Cmcm (No. 63)
Asymmetric unit:
Fe 0.0000 0.0725 0.2500 x4  4 S 2.20-2.24
Hg 0.0000 0.5000 0.0000 x4  2 S 2.80
Ge 0.0000 0.2420 0.7500 x4  4 S 2.55
S 0.0000 0.1836 0.1083 x8  1 Fe 2.20
S 0.0000 0.4703 0.2500 x4  2 Fe 2.24



GdCd2Pb | GGA-PBE | optimized geometry

Cell: 4.5365 4.5365 4.9093 Å, 90.00 90.00 90.00°
With the nearest neighbours (Å) after each atom.
Space group P4/mmm (No. 123)
Asymmetric unit:
Gd 0.0000 0.0000 0.0000 x1  4 Pb 3.21, 8 Cd 3.34
Cd 0.0000 0.5000 0.5000 x2  4 Cd 3.21, 4 Pb 3.34, 4 Gd 3.34
Pb 0.5000 0.5000 0.0000 x1  4 Gd 3.21, 8 Cd 3.34



CdFeSn | GGA-PBE | optimized geometry

Cell: 6.3061 6.3061 6.3061 Å, 90.00 90.00 90.00°
With the nearest neighbours (Å) after each atom.
Space group F-43m (No. 216)
Asymmetric unit:
Cd 0.0000 0.0000 0.0000 x4  4 Fe 2.73
Fe 0.2500 0.2500 0.2500 x4  4 Cd 2.73, 4 Sn 2.73
Sn 0.0000 0.0000 0.5000 x4  4 Fe 2.73



NaInAsIr | GGA-PBE | optimized geometry

- relative energy among the computed polymorphs (eV/atom) = 0.349

Cell: 6.6726 6.6726 6.6726 Å, 90.00 90.00 90.00°
With the nearest neighbours (Å) after each atom.
Space group F-43m (No. 216)
Asymmetric unit:
Na 0.0000 0.0000 0.0000 x4  4 In 2.89, 4 Ir 2.89
In 0.2500 0.2500 0.7500 x4  4 As 2.89, 4 Na 2.89
As 0.0000 0.0000 0.5000 x4  4 Ir 2.89, 4 In 2.89
Ir 0.2500 0.2500 0.2500 x4  4 As 2.89, 4 Na 2.89



ScInNi4 | GGA-PBE | optimized geometry

Cell: 6.9090 6.9090 6.9090 Å, 90.00 90.00 90.00°
With the nearest neighbours (Å) after each atom.
Space group F-43m (No. 216)
Asymmetric unit:
Sc 0.0000 0.0000 0.0000 x4  12 Ni 2.87, 4 In 2.99
In 0.2500 0.2500 0.2500 x4  12 Ni 2.86, 4 Sc 2.99
Ni 0.1247 0.1247 0.6247 x16  6 Ni 2.44-2.45



NaFeCuTe3 | GGA-PBE | optimized geometry

- relative energy among the computed polymorphs (eV/atom) = 0.001

Cell: 7.7168 3.8762 9.8002 Å, 90.00 109.17 90.00°
With the nearest neighbours (Å) after each atom.
Space group P2_1/m (No. 11)
Asymmetric unit:
Na 0.2483 0.2500 0.2949 x2  7 Te 3.23-3.46, 2 Cu 3.51
Fe 0.3076 0.7500 0.8389 x2  6 Te 2.61-2.62
Cu 0.0675 0.2500 0.6029 x2  4 Te 2.57-2.64, 2 Cu 2.74
Te 0.0970 0.2500 0.8716 x2  1 Cu 2.57, 2 Fe 2.62
Te 0.2779 0.7500 0.5658 x2  1 Fe 2.61, 3 Cu 2.63-2.64
Te 0.4526 0.7500 0.1201 x2  3 Fe 2.61-2.62



BaSr2Hf | GGA-PBE | optimized geometry

Cell: 8.6900 8.6900 8.6900 Å, 90.00 90.00 90.00°
With the nearest neighbours (Å) after each atom.
Space group F-43m (No. 216)
Asymmetric unit:
Ba 0.0000 0.0000 0.0000 x4  4 Sr 3.76, 4 Hf 3.76
Sr 0.0000 0.0000 0.5000 x4  4 Hf 3.76, 4 Sr 3.76
Sr 0.2500 0.2500 0.7500 x4  4 Sr 3.76, 4 Ba 3.76
Hf 0.2500 0.2500 0.2500 x4  4 Ba 3.76, 4 Sr 3.76



SrPaMo | GGA-PBE | optimized geometry

- relative energy among the computed polymorphs (eV/atom) = 0.000

Cell: 6.9600 6.9600 6.9600 Å, 90.00 90.00 90.00°
With the nearest neighbours (Å) after each atom.
Space group F-43m (No. 216)
Asymmetric unit:
Sr 0.0000 0.0000 0.0000 x4  4 Mo 3.01
Pa 0.0000 0.0000 0.5000 x4  4 Mo 3.01
Mo 0.2500 0.2500 0.7500 x4  4 Pa 3.01, 4 Sr 3.01



Er2ZrCu4Si4 | GGA-PBE | optimized geometry

Cell: 4.0724 6.4145 13.3930 Å, 90.00 90.00 90.00°
With the nearest neighbours (Å) after each atom.
Space group Immm (No. 71)
Asymmetric unit:
Er 0.0000 0.0000 0.1288 x4  6 Cu 2.89-2.97, 6 Si 2.94
Zr 0.0000 0.5000 0.0000 x2  6 Si 2.83-2.85
Cu 0.0000 0.1916 0.3310 x8  4 Si 2.38-2.53, 1 Cu 2.46
Si 0.0000 0.3068 0.5000 x4  2 Cu 2.38, 1 Si 2.48
Si 0.0000 0.5000 0.2130 x4  6 Cu 2.45-2.53



| no. | E (eV per cell) |
| --- | --- |
| 1 | -103.97 |
| 2 | -68.69 |
| 3 | -61.57 |
| 4 | -102.75 |
| 5 | -11.58 |
| 6 | -49.71 |
| 7 | -64.68 |
| 8 | -135.36 |
| 9 | -48.35 |
| 10 | -50.57 |
| 11 | -74.82 |
| 12 | -122.03 |